[1]
DFT (PBEsol) results for a relaxed structure of Sc2Tc. Values from VASP.

Formation energy ... -0.3 eV/f.u.
N(E_F) ... 7.43 states/eV per cell

Geometry as Quantum ESPRESSO input:
```
&SYSTEM
  ibrav = 0, nat = 6, ntyp = 2
/
ATOMIC_SPECIES
Sc 44.96 Sc.upf
Tc 98.00 Tc.upf
CELL_PARAMETERS angstrom
3.2958 0.0000 0.0000
0.0000 4.9096 0.0000
-1.6479 0.0000 6.9940
ATOMIC_POSITIONS angstrom
Sc 1.6479 3.6822 3.9351
Sc 1.6479 1.2274 5.9917
Sc 0.0000 3.6822 1.0022
Sc 0.0000 1.2274 3.0588
Tc 0.0000 3.6822 5.9312
Tc 1.6479 1.2274 1.0628
```

***

[2]
DFT (PBEsol) results for a relaxed structure of Zr5Si3. Values from VASP.

E_form (uncorrected) ... -0.848 eV/atom
N(E_F) ... 10.69 states/eV per cell

Geometry as Quantum ESPRESSO input:
```
&SYSTEM
  ibrav = 0, nat = 16, ntyp = 2
/
ATOMIC_SPECIES
Si 28.09 Si.upf
Zr 91.22 Zr.upf
CELL_PARAMETERS angstrom
5.2637 0.0000 0.0000
2.6319 7.4809 0.0000
2.6319 0.0000 7.4809
ATOMIC_POSITIONS angstrom
Si 1.3159 0.0000 0.0000
Si 3.9478 0.0000 0.0000
Si 7.8956 3.7404 6.1397
Si 2.6319 3.7404 1.3412
Si 5.2637 6.1397 3.7404
Si 5.2638 1.3412 3.7404
Zr 3.9478 3.7404 3.7404
Zr 6.5797 3.7404 3.7404
Zr 7.8956 6.4817 2.2102
Zr 2.6319 0.9991 5.2707
Zr 5.2637 2.2102 6.4817
Zr 5.2637 5.2707 0.9991
Zr 7.8956 6.4817 5.2707
Zr 2.6319 0.9991 2.2102
Zr 5.2637 2.2102 0.9991
Zr 5.2637 5.2707 6.4817
```